Record 1
BeCoHgBi GGA-PBE relaxed; space-group type = No. 216; total moment = 0.9 Bohr magnetons per cell; polymorph energy (0 for the lowest one) = 206 meV/atom
1.0
4.325 0.512 1.850
0.983 -1.816 4.257
2.873 -3.741 0.370
Be Bi Co Hg
1 1 1 1
Direct
0.750 0.750 0.750 Be
0.500 0.500 0.500 Bi
0.000 0.000 0.000 Co
0.250 0.250 0.250 Hg

=====

Record 2
BeCoHgBi GGA-PBE relaxed; space-group type = No. 216; total moment = 1.1 Bohr magnetons per cell; polymorph energy (0 for the lowest one) = 0 meV/atom
1.0
0.000 3.285 3.285
3.285 0.000 3.285
3.285 3.285 0.000
Be Bi Co Hg
1 1 1 1
Direct
0.250 0.250 0.250 Be
0.000 0.000 0.000 Bi
0.750 0.750 0.750 Co
0.500 0.500 0.500 Hg

=====

Record 3
BeCoBiIr GGA-PBE relaxed; space-group type = No. 216; total moment = 1.1 Bohr magnetons per cell; polymorph energy (0 for the lowest one) = 0 meV/atom
1.0
0.921 -3.833 -1.933
-1.774 -3.713 1.531
-3.085 -2.082 -2.329
Be Bi Co Ir
1 1 1 1
Direct
0.500 0.500 0.500 Be
0.000 0.000 0.000 Bi
0.750 0.750 0.750 Co
0.250 0.250 0.250 Ir

=====

Record 4
LiBeCoBi GGA-PBE relaxed; space-group type = No. 216; total moment = 0.0 Bohr magnetons per cell; polymorph energy (0 for the lowest one) = 0 meV/atom
1.0
0.000 3.033 3.033
3.033 0.000 3.033
3.033 3.033 0.000
Be Bi Co Li
1 1 1 1
Direct
0.750 0.750 0.750 Be
0.250 0.250 0.250 Bi
0.500 0.500 0.500 Co
0.000 0.000 0.000 Li

=====

Record 5
LiBeCoBi GGA-PBE relaxed; space-group type = No. 216; total moment = 1.1 Bohr magnetons per cell; polymorph energy (0 for the lowest one) = 191 meV/atom
1.0
0.000 3.055 3.055
3.055 0.000 3.055
3.055 3.055 0.000
Be Bi Co Li
1 1 1 1
Direct
0.000 0.000 0.000 Be
0.250 0.250 0.250 Bi
0.750 0.750 0.750 Co
0.500 0.500 0.500 Li

=====

Record 6
LuBeCoBi GGA-PBE relaxed; space-group type = No. 216; total moment = 0.4 Bohr magnetons per cell; polymorph energy (0 for the lowest one) = 0 meV/atom
1.0
-3.554 -2.786 0.990
-3.272 1.388 2.956
-4.235 1.016 -1.550
Be Bi Co Lu
1 1 1 1
Direct
0.250 0.250 0.250 Be
0.000 0.000 0.000 Bi
0.750 0.750 0.750 Co
0.500 0.500 0.500 Lu

=====

Record 7
LuBeCoBi GGA-PBE relaxed; space-group type = No. 216; total moment = 0.0 Bohr magnetons per cell; polymorph energy (0 for the lowest one) = 166 meV/atom
1.0
-2.037 -4.203 0.280
-3.504 -0.705 3.019
-4.364 -0.595 -1.579
Be Bi Co Lu
1 1 1 1
Direct
0.500 0.500 0.500 Be
0.000 0.000 0.000 Bi
0.750 0.750 0.750 Co
0.250 0.250 0.250 Lu

=====

Record 8
BeCoBiMo GGA-PBE relaxed; space-group type = No. 216; total moment = 0.3 Bohr magnetons per cell; polymorph energy (0 for the lowest one) = 0 meV/atom
1.0
0.000 3.118 3.118
3.118 0.000 3.118
3.118 3.118 0.000
Be Bi Co Mo
1 1 1 1
Direct
0.500 0.500 0.500 Be
0.000 0.000 0.000 Bi
0.750 0.750 0.750 Co
0.250 0.250 0.250 Mo

=====

Record 9
BeCoBiMo GGA-PBE relaxed; space-group type = No. 216; total moment = 2.6 Bohr magnetons per cell; polymorph energy (0 for the lowest one) = 37 meV/atom
1.0
0.000 3.136 3.136
3.136 0.000 3.136
3.136 3.136 0.000
Be Bi Co Mo
1 1 1 1
Direct
0.250 0.250 0.250 Be
0.000 0.000 0.000 Bi
0.750 0.750 0.750 Co
0.500 0.500 0.500 Mo

=====

Record 10
BeCoNiBi GGA-PBE relaxed; space-group type = No. 216; total moment = 0.6 Bohr magnetons per cell; polymorph energy (0 for the lowest one) = 177 meV/atom
1.0
4.070 0.046 1.316
0.986 1.589 3.847
1.263 -2.620 3.136
Be Bi Co Ni
1 1 1 1
Direct
0.500 0.500 0.500 Be
0.250 0.250 0.250 Bi
0.750 0.750 0.750 Co
0.000 0.000 0.000 Ni

=====

Record 11
BeCoNiBi GGA-PBE relaxed; space-group type = No. 216; total moment = 0.5 Bohr magnetons per cell; polymorph energy (0 for the lowest one) = 0 meV/atom
1.0
0.000 3.012 3.012
3.012 0.000 3.012
3.012 3.012 0.000
Be Bi Co Ni
1 1 1 1
Direct
0.500 0.500 0.500 Be
0.000 0.000 0.000 Bi
0.750 0.750 0.750 Co
0.250 0.250 0.250 Ni

=====

Record 12
BeCoBiOs GGA-PBE relaxed; space-group type = No. 216; total moment = 0.0 Bohr magnetons per cell; polymorph energy (0 for the lowest one) = 0 meV/atom
1.0
3.693 -1.812 -1.435
0.039 -4.177 -1.240
0.434 -1.017 -4.214
Be Bi Co Os
1 1 1 1
Direct
0.500 0.500 0.500 Be
0.000 0.000 0.000 Bi
0.750 0.750 0.750 Co
0.250 0.250 0.250 Os

=====

no.,V (Å³/cell)
1,74.9
2,70.9
3,59.8
4,55.8
5,57.0
6,69.9
7,72.4
8,60.7
9,61.7
10,55.3
11,54.7
12,58.5